Entry 1:
# Zn5Ga, relaxed, DFT PBE-GGA
data_Zn5Ga
_cell_length_a 2.8376
_cell_length_b 2.8376
_cell_length_c 11.6913
_cell_angle_alpha 90.00
_cell_angle_beta 90.00
_cell_angle_gamma 90.00
_symmetry_space_group_name_H-M 'P 4/m m m'
_symmetry_Int_Tables_number 123
_symmetry_space_group_name_Hall '-P 4 2'
loop_
_atom_site_label
_atom_site_fract_x
_atom_site_fract_y
_atom_site_fract_z
Zn1 0.0000 0.0000 0.0000
Zn2 0.0000 0.0000 0.3241
Zn3 0.5000 0.5000 0.1604
Ga1 0.5000 0.5000 0.5000
# - formation enthalpy at 0 K (eV/atom) = 0.024
# - crystal system = tetragonal
# - calculated total energy (hartree per atom) = -0.05667
# - spin magnetization (μB/f.u.) = 0.00
# - E above lowest polymorph (meV per atom) = 0.0

Entry 2:
# Zn5Ga7, relaxed, DFT PBE-GGA
data_Zn5Ga7
_cell_length_a 12.0627
_cell_length_b 4.2178
_cell_length_c 8.9209
_cell_angle_alpha 90.00
_cell_angle_beta 114.63
_cell_angle_gamma 90.00
_symmetry_space_group_name_H-M 'C 1 2/m 1'
_symmetry_Int_Tables_number 12
loop_
_symmetry_equiv_pos_as_xyz
'x,y,z'
'-x,-y,-z'
'-x,y,-z'
'x,-y,z'
'x+1/2,y+1/2,z'
'-x+1/2,-y+1/2,-z'
'-x+1/2,y+1/2,-z'
'x+1/2,-y+1/2,z'
loop_
_atom_site_label
_atom_site_fract_x
_atom_site_fract_y
_atom_site_fract_z
Zn1 0.0000 0.0000 0.0000
Zn2 0.1735 0.0000 0.5020
Zn3 0.2482 0.0000 0.2538
Ga1 0.0000 0.5000 0.5000
Ga2 0.0810 0.0000 0.7397
Ga3 0.0895 0.5000 0.2496
Ga4 0.1640 0.5000 0.9903
# - formation enthalpy at 0 K (eV/atom) = 0.031
# - crystal system = monoclinic
# - calculated total energy (hartree per atom) = -0.08324
# - spin magnetization (μB/f.u.) = 0.00
# - E above lowest polymorph (meV per atom) = 0.0

Entry 3:
# ZnGa, relaxed, DFT PBE-GGA
data_ZnGa
_cell_length_a 7.8917
_cell_length_b 7.8917
_cell_length_c 4.0490
_cell_angle_alpha 90.00
_cell_angle_beta 90.00
_cell_angle_gamma 120.00
_symmetry_space_group_name_H-M 'P 63/m'
_symmetry_Int_Tables_number 176
_symmetry_space_group_name_Hall '-P 6c'
loop_
_atom_site_label
_atom_site_fract_x
_atom_site_fract_y
_atom_site_fract_z
Zn1 0.0044 0.7832 0.2500
Ga1 0.1109 0.4990 0.2500
# - formation enthalpy at 0 K (eV/atom) = 0.055
# - crystal system = hexagonal
# - calculated total energy (hartree per atom) = -0.07701
# - spin magnetization (μB/f.u.) = 0.00

Entry 4:
# Zn2Ga3, relaxed, DFT PBE-GGA
data_Zn2Ga3
_cell_length_a 8.2501
_cell_length_b 10.7562
_cell_length_c 8.7097
_cell_angle_alpha 90.00
_cell_angle_beta 90.00
_cell_angle_gamma 90.00
_symmetry_space_group_name_H-M 'F d d 2'
_symmetry_Int_Tables_number 43
_symmetry_space_group_name_Hall 'F 2 -2d'
loop_
_atom_site_label
_atom_site_fract_x
_atom_site_fract_y
_atom_site_fract_z
Zn1 0.0813 0.2338 0.0000
Ga1 0.0000 0.0000 0.0003
Ga2 0.0524 0.3779 0.7687
# - formation enthalpy at 0 K (eV/atom) = 0.121
# - crystal system = orthorhombic
# - calculated total energy (hartree per atom) = -0.08102
# - spin magnetization (μB/f.u.) = 0.00

Entry 5:
# Zn13Ga3, relaxed, DFT PBE-GGA
data_Zn13Ga3
_cell_length_a 7.9750
_cell_length_b 7.7705
_cell_length_c 8.1183
_cell_angle_alpha 90.00
_cell_angle_beta 90.00
_cell_angle_gamma 90.00
_symmetry_space_group_name_H-M 'A m m 2'
_symmetry_Int_Tables_number 38
loop_
_symmetry_equiv_pos_as_xyz
'x,y,z'
'-x,-y,z'
'-x,y,z'
'x,-y,z'
'x,y+1/2,z+1/2'
'-x,-y+1/2,z+1/2'
'-x,y+1/2,z+1/2'
'x,-y+1/2,z+1/2'
loop_
_atom_site_label
_atom_site_fract_x
_atom_site_fract_y
_atom_site_fract_z
Zn1 0.0000 0.0000 0.0000
Zn2 0.0000 0.0000 0.5088
Zn3 0.0000 0.2459 0.7546
Zn4 0.2464 0.2502 0.0039
Zn5 0.2480 0.0000 0.7499
Zn6 0.5000 0.0000 0.5064
Zn7 0.5000 0.2486 0.7496
Ga1 0.2461 0.0000 0.2576
Ga2 0.5000 0.0000 0.9946
# - formation enthalpy at 0 K (eV/atom) = 0.035
# - crystal system = orthorhombic
# - calculated total energy (hartree per atom) = -0.05762
# - spin magnetization (μB/f.u.) = 0.00

Entry 6:
# Zn5Ga3, relaxed, DFT PBE-GGA
data_Zn5Ga3
_cell_length_a 4.0219
_cell_length_b 4.0219
_cell_length_c 16.1069
_cell_angle_alpha 90.00
_cell_angle_beta 90.00
_cell_angle_gamma 90.00
_symmetry_space_group_name_H-M 'I -4 m 2'
_symmetry_Int_Tables_number 119
_symmetry_space_group_name_Hall 'I -4 -2'
loop_
_atom_site_label
_atom_site_fract_x
_atom_site_fract_y
_atom_site_fract_z
Zn1 0.0000 0.0000 0.0000
Zn2 0.0000 0.0000 0.2509
Zn3 0.0000 0.5000 0.1295
Ga1 0.0000 0.0000 0.5000
Ga2 0.0000 0.5000 0.6292
# - formation enthalpy at 0 K (eV/atom) = 0.048
# - crystal system = tetragonal
# - calculated total energy (hartree per atom) = -0.06920
# - spin magnetization (μB/f.u.) = 0.00

Entry 7:
# Zn2Ga7, relaxed, DFT PBE-GGA
data_Zn2Ga7
_cell_length_a 6.4856
_cell_length_b 6.4856
_cell_length_c 4.8624
_cell_angle_alpha 90.00
_cell_angle_beta 90.00
_cell_angle_gamma 120.00
_symmetry_space_group_name_H-M 'P -3 1 m'
_symmetry_Int_Tables_number 162
_symmetry_space_group_name_Hall '-P 3 2'
loop_
_atom_site_label
_atom_site_fract_x
_atom_site_fract_y
_atom_site_fract_z
Zn1 0.3333 0.6667 0.0000
Ga1 0.0000 0.0000 0.0000
Ga2 0.0000 0.3370 0.6716
# - formation enthalpy at 0 K (eV/atom) = 0.116
# - crystal system = trigonal
# - calculated total energy (hartree per atom) = -0.09267
# - spin magnetization (μB/f.u.) = 0.00

Entry 8:
# Zn7Ga, relaxed, DFT PBE-GGA
data_Zn7Ga
_cell_length_a 3.9391
_cell_length_b 3.9391
_cell_length_c 15.9908
_cell_angle_alpha 90.00
_cell_angle_beta 90.00
_cell_angle_gamma 90.00
_symmetry_space_group_name_H-M 'I 4/m m m'
_symmetry_Int_Tables_number 139
_symmetry_space_group_name_Hall '-I 4 2'
loop_
_atom_site_label
_atom_site_fract_x
_atom_site_fract_y
_atom_site_fract_z
Zn1 0.0000 0.0000 0.0000
Zn2 0.0000 0.0000 0.2507
Zn3 0.0000 0.5000 0.1271
Ga1 0.0000 0.0000 0.5000
# - formation enthalpy at 0 K (eV/atom) = 0.027
# - crystal system = tetragonal
# - calculated total energy (hartree per atom) = -0.05388
# - spin magnetization (μB/f.u.) = 0.00
# - E above lowest polymorph (meV per atom) = 0.0

Entry 9:
# ZnGa, relaxed, DFT PBE-GGA
data_ZnGa
_cell_length_a 5.3358
_cell_length_b 5.3358
_cell_length_c 5.3358
_cell_angle_alpha 90.00
_cell_angle_beta 90.00
_cell_angle_gamma 90.00
_symmetry_space_group_name_H-M 'F m -3 m'
_symmetry_Int_Tables_number 225
_symmetry_space_group_name_Hall '-F 4 2 3'
loop_
_atom_site_label
_atom_site_fract_x
_atom_site_fract_y
_atom_site_fract_z
Zn1 0.0000 0.0000 0.0000
Ga1 0.0000 0.0000 0.5000
# - formation enthalpy at 0 K (eV/atom) = 0.158
# - crystal system = cubic
# - calculated total energy (hartree per atom) = -0.07323
# - spin magnetization (μB/f.u.) = 0.00

Entry 10:
# ZnGa4, relaxed, DFT PBE-GGA
data_ZnGa4
_cell_length_a 6.0058
_cell_length_b 6.0058
_cell_length_c 5.0979
_cell_angle_alpha 90.00
_cell_angle_beta 90.00
_cell_angle_gamma 90.00
_symmetry_space_group_name_H-M 'P 4/m c c'
_symmetry_Int_Tables_number 124
_symmetry_space_group_name_Hall '-P 4 2c'
loop_
_atom_site_label
_atom_site_fract_x
_atom_site_fract_y
_atom_site_fract_z
Zn1 0.0000 0.0000 0.2500
Ga1 0.1949 0.3679 0.0000
# - formation enthalpy at 0 K (eV/atom) = 0.028
# - crystal system = tetragonal
# - calculated total energy (hartree per atom) = -0.09731
# - spin magnetization (μB/f.u.) = 0.00
# - E above lowest polymorph (meV per atom) = 0.0

Entry 11:
# Zn2Ga3, relaxed, DFT PBE-GGA
data_Zn2Ga3
_cell_length_a 9.6941
_cell_length_b 2.9034
_cell_length_c 6.8395
_cell_angle_alpha 90.00
_cell_angle_beta 116.76
_cell_angle_gamma 90.00
_symmetry_space_group_name_H-M 'C 1 2/m 1'
_symmetry_Int_Tables_number 12
loop_
_symmetry_equiv_pos_as_xyz
'x,y,z'
'-x,-y,-z'
'-x,y,-z'
'x,-y,z'
'x+1/2,y+1/2,z'
'-x+1/2,-y+1/2,-z'
'-x+1/2,y+1/2,-z'
'x+1/2,-y+1/2,z'
loop_
_atom_site_label
_atom_site_fract_x
_atom_site_fract_y
_atom_site_fract_z
Zn1 0.2055 0.0000 0.3105
Ga1 0.0000 0.0000 0.5000
Ga2 0.1021 0.5000 0.9082
# - formation enthalpy at 0 K (eV/atom) = 0.032
# - crystal system = monoclinic
# - calculated total energy (hartree per atom) = -0.08430
# - spin magnetization (μB/f.u.) = 0.00

Entry 12:
# Zn3Ga, relaxed, DFT PBE-GGA
data_Zn3Ga
_cell_length_a 5.6153
_cell_length_b 7.9698
_cell_length_c 2.8399
_cell_angle_alpha 90.00
_cell_angle_beta 90.00
_cell_angle_gamma 90.00
_symmetry_space_group_name_H-M 'C m m m'
_symmetry_Int_Tables_number 65
_symmetry_space_group_name_Hall '-C 2 2'
loop_
_atom_site_label
_atom_site_fract_x
_atom_site_fract_y
_atom_site_fract_z
Zn1 0.0000 0.0000 0.0000
Zn2 0.2500 0.2500 0.5000
Ga1 0.0000 0.5000 0.0000
# - formation enthalpy at 0 K (eV/atom) = 0.045
# - crystal system = orthorhombic
# - calculated total energy (hartree per atom) = -0.06128
# - spin magnetization (μB/f.u.) = 0.00